Computed, not measured: a relaxed Zn3Ag crystal at the PBE level of DFT.

Lattice parameters (Å, degrees): 4.4078 5.6951 5.6951 60.00 90.00 90.00
Fractional coordinates of all 8 atoms:
1 Ag 0.7500 0.6667 0.6667
2 Zn 0.2500 0.8359 0.8360
3 Zn 0.7500 0.1641 0.6719
4 Ag 0.2500 0.3333 0.3333
5 Zn 0.2500 0.3281 0.8359
6 Zn 0.7500 0.1641 0.1640
7 Zn 0.7500 0.6719 0.1641
8 Zn 0.2500 0.8359 0.3281

- Fermi-level density of states (states/eV/cell) = 1.8
- energy of formation from the pure elements (meV per atom) = -29

---

Computed, not measured: a relaxed YTlSe2O8 crystal at the PBE level of DFT.

Lattice parameters (Å, degrees): 5.4640 5.4640 8.5832 88.36 88.36 64.28
Fractional coordinates of all 12 atoms:
1 O 0.3002 0.3002 0.6046
2 O 0.6992 0.2315 0.8092
3 Se 0.6384 0.6384 0.2181
4 O 0.6998 0.6998 0.3954
5 Tl 0.0000 0.0000 0.5000
6 O 0.2329 0.2329 0.9236
7 O 0.7685 0.3008 0.1908
8 Y 0.0000 0.0000 0.0000
9 O 0.3008 0.7685 0.1908
10 O 0.7671 0.7671 0.0764
11 O 0.2315 0.6992 0.8092
12 Se 0.3616 0.3616 0.7819

- Fermi-level density of states (states/eV/cell) = 0.0
- E_form (uncorrected) (eV/atom) = -1.373

---

Computed, not measured: a relaxed LaInP2O8 crystal at the PBE level of DFT.

Lattice parameters (Å, degrees): 5.1376 5.1376 7.2091 90.00 90.00 120.00
Fractional coordinates of all 12 atoms:
1 O 0.6667 0.3333 0.0139
2 O 0.7709 0.1130 0.2935
3 O 0.2291 0.8870 0.7065
4 O 0.8870 0.6579 0.2935
5 O 0.1130 0.3421 0.7065
6 P 0.3333 0.6667 0.7727
7 O 0.3333 0.6667 0.9861
8 O 0.3421 0.2291 0.2935
9 P 0.6667 0.3333 0.2273
10 In 0.0000 0.0000 0.5000
11 O 0.6579 0.7709 0.7065
12 La 0.0000 0.0000 0.0000

- Fermi-level density of states (states/eV/cell) = 0.0
- E_form (uncorrected) (eV/atom) = -2.469

---

Computed, not measured: a relaxed Nd2MoC3 crystal at the PBE level of DFT.

Lattice parameters (Å, degrees): 5.5263 6.8685 6.8685 121.49 90.00 90.00
Fractional coordinates of all 12 atoms:
1 C 0.9953 0.8294 0.5475
2 Nd 0.0200 0.1559 0.4731
3 C 0.4953 0.1706 0.4525
4 Mo 0.0404 0.8391 0.8391
5 Nd 0.0200 0.4731 0.1559
6 C 0.8870 0.1100 0.1100
7 C 0.9953 0.5475 0.8294
8 Nd 0.5200 0.5269 0.8441
9 C 0.4953 0.4525 0.1706
10 Nd 0.5200 0.8441 0.5269
11 Mo 0.5404 0.1609 0.1609
12 C 0.3870 0.8900 0.8900

- Fermi-level density of states (states/eV/cell) = 1.0
- energy of formation from the pure elements (meV per atom) = 18

---

Which formula does entry 2 have? YTlSe2O8